SbPRu2 | GGA-PBE | optimized geometry

The value obtained for the spin magnetization is 0.0 μB per cell. For the energy above the most stable polymorph in this dataset, the calculation gives 513.5 meV/atom. For the final energy, the calculation gives -26.9 eV per cell. The calculation puts the uncorrected formation energy at 0.29 eV per atom.

abc: 5.3010 5.3010 5.3010
angles: 139.16 139.16 59.14
Last column: nearest neighbours and their distance in Å.
Atoms (fractional coordinates):
Sb1 0.5000 0.5000 0.0000  4 Ru 2.62
P1 0.7500 0.2500 0.5000  4 Ru 2.62
Ru1 0.0000 0.0000 0.0000  4 Sb 2.62
Ru2 0.2500 0.7500 0.5000  4 P 2.62